Entry 1:
# AgOsAu2 (PBE-GGA, relaxed)
# offset from the most stable computed form = 0.124 eV/atom
# energy of formation = 0.483 eV per atom
# D(E_F) = 3.6 states/eV/f.u.
# spin magnetization = 0.25 μB/f.u.
data_AgOsAu2
_chemical_formula_sum 'Ag1 Os1 Au2'
_symmetry_space_group_name_H-M 'P 4 m m'
_symmetry_Int_Tables_number 99
_symmetry_space_group_name_Hall 'P 4 -2'
_cell_length_a 2.7781
_cell_length_b 2.7781
_cell_length_c 8.7624
_cell_angle_alpha 90.00
_cell_angle_beta 90.00
_cell_angle_gamma 90.00
loop_
_atom_site_label
_atom_site_type_symbol
_atom_site_fract_x
_atom_site_fract_y
_atom_site_fract_z
Ag1 Ag 0.0000 0.0000 0.0000
Os1 Os 0.5000 0.5000 0.7573
Au1 Au 0.0000 0.0000 0.5191
Au2 Au 0.5000 0.5000 0.2566

=====

Entry 2:
# AgOs2Au (PBE-GGA, relaxed)
# offset from the most stable computed form = 0.782 eV/atom
# energy of formation = 1.100 eV per atom
# D(E_F) = 4.1 states/eV/f.u.
# spin magnetization = 0.00 μB/f.u.
data_AgOs2Au
_chemical_formula_sum 'Ag1 Os2 Au1'
_symmetry_space_group_name_H-M 'P 4/m m m'
_symmetry_Int_Tables_number 123
_symmetry_space_group_name_Hall '-P 4 2'
_cell_length_a 3.2877
_cell_length_b 3.2877
_cell_length_c 5.8782
_cell_angle_alpha 90.00
_cell_angle_beta 90.00
_cell_angle_gamma 90.00
loop_
_atom_site_label
_atom_site_type_symbol
_atom_site_fract_x
_atom_site_fract_y
_atom_site_fract_z
Ag1 Ag 0.0000 0.0000 0.0000
Os1 Os 0.5000 0.5000 0.2517
Au1 Au 0.0000 0.0000 0.5000